1.
## ErHfTc2 (PBE)

Data for a relaxed ErHfTc2 crystal.

Structure (POSCAR):
```
ErHfTc2
1.0
3.3157 0.0000 0.0000
0.0000 3.3157 0.0000
0.0000 0.0000 6.7369
Er Hf Tc
1 1 2
Cartesian
0.0000 0.0000 0.0000
0.0000 0.0000 3.3685
1.6579 1.6579 1.8108
1.6579 1.6579 4.9261
```

## Properties
Offset from the most stable computed form: 0.0 kJ/mol of formula units
Energy of formation: -161 meV per atom
Theoretical density: 12.1 g/cm³
Total magnetization: 0.000 μB/f.u.
Density of states at the Fermi level: 1.50 states/eV/atom
SG: P4/mmm, No. 123

***

2.
## ErCo2H6 (PBE)

Data for a relaxed ErCo2H6 crystal.

Structure (POSCAR):
```
ErCo2H6
1.0
4.3214 0.0000 0.0000
-2.1607 3.7425 0.0000
0.0000 0.0000 4.0522
Er Co H
1 2 6
Cartesian
0.0000 0.0000 0.0000
0.0000 2.4950 2.0261
2.1607 1.2475 2.0261
-1.0804 1.8712 0.9689
-1.0804 1.8712 3.0833
2.1607 0.0000 0.9689
2.1607 0.0000 3.0833
1.0804 1.8712 0.9689
1.0804 1.8712 3.0833
```

## Properties
Offset from the most stable computed form: 0.0 kJ/mol of formula units
Theoretical density: 7.4 g/cm³
Total magnetization: 1.544 μB/f.u.
Density of states at the Fermi level: 0.38 states/eV/atom
SG: P6/mmm, No. 191

***

3.
## RbTl (PBE)

Data for a relaxed RbTl crystal.

Structure (POSCAR):
```
RbTl
1.0
10.3955 0.0000 0.0000
0.0000 10.3955 0.0000
0.0000 0.0000 10.3955
Rb Tl
6 6
Cartesian
0.0000 2.5989 5.1978
0.0000 7.7966 5.1978
2.5989 5.1978 0.0000
5.1978 0.0000 2.5989
5.1978 0.0000 7.7966
7.7966 5.1978 0.0000
0.0000 5.1978 2.5989
0.0000 5.1978 7.7966
2.5989 0.0000 5.1978
5.1978 2.5989 0.0000
5.1978 7.7966 0.0000
7.7966 0.0000 5.1978
```

## Properties
Offset from the most stable computed form: 111.2 kJ/mol of formula units
Energy of formation: 517 meV per atom
Theoretical density: 2.6 g/cm³
Total magnetization: 0.000 μB/f.u.
Density of states at the Fermi level: 0.97 states/eV/atom
SG: Pm-3n, No. 223

***

4.
## BeCoPt3 (PBE)

Data for a relaxed BeCoPt3 crystal.

Structure (POSCAR):
```
BeCoPt3
1.0
4.1939 0.0000 0.0000
0.0000 4.1939 0.0000
0.0000 0.0000 4.1939
Be Co Pt
1 1 3
Cartesian
0.0000 0.0000 0.0000
2.0970 2.0970 2.0970
0.0000 0.0000 2.0970
0.0000 2.0970 0.0000
2.0970 0.0000 0.0000
```

## Properties
Offset from the most stable computed form: 0.0 kJ/mol of formula units
Energy of formation: 211 meV per atom
Theoretical density: 14.7 g/cm³
Total magnetization: 2.936 μB/f.u.
Density of states at the Fermi level: 0.98 states/eV/atom
SG: Pm-3m, No. 221

***

5.
## YBeGa2Co2 (PBE)

Data for a relaxed YBeGa2Co2 crystal.

Structure (POSCAR):
```
YBeGa2Co2
1.0
4.0424 0.0000 0.0000
0.0000 4.0424 0.0000
0.0000 0.0000 5.4459
Y Be Ga Co
1 1 2 2
Cartesian
0.0000 0.0000 0.0000
0.0000 0.0000 2.7229
2.0212 2.0212 1.3110
2.0212 2.0212 4.1349
0.0000 2.0212 2.7229
2.0212 0.0000 2.7229
```

## Properties
Energy of formation: -356 meV per atom
Theoretical density: 6.6 g/cm³
Total magnetization: 0.560 μB/f.u.
Density of states at the Fermi level: 0.67 states/eV/atom
SG: P4/mmm, No. 123

***

6.
## Pa2AsO (PBE)

Data for a relaxed Pa2AsO crystal.

Structure (POSCAR):
```
Pa2AsO
1.0
1.8693 1.0792 6.3927
-1.8693 1.0792 6.3927
0.0000 -2.1584 6.3927
Pa As O
2 1 1
Cartesian
0.0000 0.0000 4.5087
0.0000 0.0000 14.6694
0.0000 0.0000 0.0000
0.0000 0.0000 9.5890
```

## Properties
Offset from the most stable computed form: 0.0 kJ/mol of formula units
Theoretical density: 11.9 g/cm³
Total magnetization: 0.994 μB/f.u.
Density of states at the Fermi level: 1.47 states/eV/atom
SG: R-3m, No. 166
Raw formation energy: -6.702 eV/f.u.

***

7.
## ZrScIn2 (PBE)

Data for a relaxed ZrScIn2 crystal.

Structure (POSCAR):
```
ZrScIn2
1.0
3.3832 0.0000 0.0000
0.0000 3.3832 0.0000
0.0000 0.0000 8.2735
Zr Sc In
1 1 2
Cartesian
0.0000 0.0000 0.0000
1.6916 1.6916 6.1827
0.0000 0.0000 4.1614
1.6916 1.6916 2.0513
```

## Properties
Offset from the most stable computed form: 99.7 kJ/mol of formula units
Energy of formation: -114 meV per atom
Theoretical density: 6.4 g/cm³
Total magnetization: 0.000 μB/f.u.
Density of states at the Fermi level: 0.94 states/eV/atom
SG: P4mm, No. 99

***

8.
## KH6O3 (PBE)

Data for a relaxed KH6O3 crystal.

Structure (POSCAR):
```
KH6O3
1.0
5.6714 3.2744 1.5985
-5.6714 3.2744 1.5985
0.0000 -6.5488 1.5985
K H O
1 6 3
Cartesian
0.0000 0.0000 0.0000
0.0000 -3.0683 1.2476
-2.6572 1.5342 1.2476
-2.7854 -1.6081 2.9078
2.6572 1.5342 1.2476
2.7854 -1.6081 2.9078
0.0000 3.2163 2.9078
-3.4099 -1.9687 3.5759
3.4099 -1.9687 3.5759
0.0000 3.9374 3.5759
```

## Properties
Theoretical density: 0.9 g/cm³
Total magnetization: 0.000 μB/f.u.
Density of states at the Fermi level: 0.12 states/eV/atom
SG: R3m, No. 160

***

9.
## KGaP3 (PBE)

Data for a relaxed KGaP3 crystal.

Structure (POSCAR):
```
KGaP3
1.0
4.8884 0.0000 0.0000
0.0000 4.8884 0.0000
0.0000 0.0000 4.8884
K Ga P
1 1 3
Cartesian
0.0000 0.0000 0.0000
2.4442 2.4442 2.4442
0.0000 2.4442 2.4442
2.4442 0.0000 2.4442
2.4442 2.4442 0.0000
```

## Properties
Offset from the most stable computed form: 0.0 kJ/mol of formula units
Energy of formation: 532 meV per atom
Theoretical density: 2.9 g/cm³
Total magnetization: 0.000 μB/f.u.
Density of states at the Fermi level: 0.71 states/eV/atom
SG: Pm-3m, No. 221

***

10.
## Tb4DyHo7 (PBE)

Data for a relaxed Tb4DyHo7 crystal.

Structure (POSCAR):
```
Tb4DyHo7
1.0
6.4638 0.0000 0.0000
0.9475 6.6892 0.0000
2.0284 0.4028 8.7384
Tb Dy Ho
4 1 7
Cartesian
1.7670 2.1662 2.4874
4.4338 6.1936 6.0272
5.0059 0.8984 2.7112
7.6726 4.9258 6.2510
3.7056 3.3446 0.0000
2.2513 2.0633 8.2918
2.6765 5.4893 3.1342
3.6177 2.8839 5.3644
3.2319 0.0000 0.0000
5.8219 4.2081 3.3740
6.7632 1.6027 5.6042
7.1883 5.0288 0.4466
```

## Properties
Energy of formation: 89 meV per atom
Theoretical density: 8.6 g/cm³
Total magnetization: 0.000 μB/f.u.
Density of states at the Fermi level: 1.66 states/eV/atom
SG: P-1, No. 2

***

11.
## TePPdI2 (PBE)

Data for a relaxed TePPdI2 crystal.

Structure (POSCAR):
```
TePPdI2
1.0
5.4356 0.0000 0.0000
0.0000 5.4356 0.0000
0.0000 0.0000 5.3686
Te P Pd I
1 1 1 2
Cartesian
0.0000 0.0000 0.0000
2.7178 2.7178 0.0000
0.0000 0.0000 2.6843
0.0000 2.7178 2.6843
2.7178 0.0000 2.6843
```

## Properties
Offset from the most stable computed form: 0.0 kJ/mol of formula units
Theoretical density: 5.4 g/cm³
Total magnetization: 1.270 μB/f.u.
Density of states at the Fermi level: 1.03 states/eV/atom
SG: P4/mmm, No. 123
Raw formation energy: 3.461 eV/f.u.

***

12.
## Ni2HgCl (PBE)

Data for a relaxed Ni2HgCl crystal.

Structure (POSCAR):
```
Ni2HgCl
1.0
3.2105 0.0000 0.0000
0.0000 3.2105 0.0000
0.0000 0.0000 6.8326
Ni Hg Cl
2 1 1
Cartesian
0.0000 0.0000 0.0000
1.6053 1.6053 1.2615
1.6053 1.6053 5.3592
0.0000 0.0000 2.2351
```

## Properties
Offset from the most stable computed form: 27.3 kJ/mol of formula units
Theoretical density: 8.3 g/cm³
Total magnetization: 1.032 μB/f.u.
Density of states at the Fermi level: 0.60 states/eV/atom
SG: P4mm, No. 99
Raw formation energy: 0.600 eV/f.u.

***

13.
## LiLaTmOs (PBE)

Data for a relaxed LiLaTmOs crystal.

Structure (POSCAR):
```
LiLaTmOs
1.0
0.0000 3.5253 3.5253
3.5253 0.0000 3.5253
3.5253 3.5253 0.0000
Li La Tm Os
1 1 1 1
Cartesian
0.0000 0.0000 0.0000
5.2880 5.2880 5.2880
1.7627 1.7627 1.7627
3.5253 3.5253 3.5253
```

## Properties
Energy of formation: -152 meV per atom
Theoretical density: 9.6 g/cm³
Total magnetization: 0.000 μB/f.u.
Density of states at the Fermi level: 0.65 states/eV/atom
SG: F-43m, No. 216

***

14.
## FeIr2Se (PBE)

Data for a relaxed FeIr2Se crystal.

Structure (POSCAR):
```
FeIr2Se
1.0
2.8647 0.0000 0.0000
0.0000 2.8647 0.0000
0.0000 0.0000 7.0542
Fe Ir Se
1 2 1
Cartesian
0.0000 0.0000 0.0000
0.0000 0.0000 3.5563
1.4323 1.4323 1.6711
1.4323 1.4323 5.3964
```

## Properties
Theoretical density: 14.9 g/cm³
Total magnetization: 2.381 μB/f.u.
Density of states at the Fermi level: 1.00 states/eV/atom
SG: P4mm, No. 99
Raw formation energy: 1.201 eV/f.u.

***

15.
## Np2PH2I (PBE)

Data for a relaxed Np2PH2I crystal.

Structure (POSCAR):
```
Np2PH2I
1.0
3.8626 0.0000 0.0000
-1.9313 3.3451 0.0000
0.0000 0.0000 8.4189
Np P H I
2 1 2 1
Cartesian
0.0000 2.2301 1.7151
1.9313 1.1150 6.7038
0.0000 0.0000 0.0000
0.0000 2.2301 6.4214
1.9313 1.1150 1.9975
0.0000 0.0000 4.2095
```

## Properties
Theoretical density: 9.7 g/cm³
Total magnetization: 8.004 μB/f.u.
Density of states at the Fermi level: 2.39 states/eV/atom
SG: P-3m1, No. 164

***

16.
## LaTc2Ni (PBE)

Data for a relaxed LaTc2Ni crystal.

Structure (POSCAR):
```
LaTc2Ni
1.0
1.4194 0.8195 9.7337
-1.4194 0.8195 9.7337
0.0000 -1.6390 9.7337
La Tc Ni
1 2 1
Cartesian
0.0000 0.0000 0.0000
0.0000 0.0000 6.8682
0.0000 0.0000 22.3330
0.0000 0.0000 14.6006
```

## Properties
Offset from the most stable computed form: 248.8 kJ/mol of formula units
Energy of formation: 701 meV per atom
Theoretical density: 9.6 g/cm³
Total magnetization: 0.002 μB/f.u.
Density of states at the Fermi level: 1.79 states/eV/atom
SG: R-3m, No. 166

***

17.
## Pm2TmThSb4 (PBE)

Data for a relaxed Pm2TmThSb4 crystal.

Structure (POSCAR):
```
Pm2TmThSb4
1.0
7.7056 0.0000 0.0000
0.0000 4.4672 0.0000
-2.5802 0.0000 7.2954
Pm Tm Th Sb
2 1 1 4
Cartesian
0.0000 0.0000 0.0000
3.8528 2.2336 0.0000
-1.2901 2.2336 3.6477
2.5627 0.0000 3.6477
-0.0465 0.0000 5.4203
1.2396 2.2336 1.8429
3.8858 2.2336 5.4525
5.1719 0.0000 1.8751
```

## Properties
Theoretical density: 7.8 g/cm³
Total magnetization: 0.000 μB/f.u.
Density of states at the Fermi level: 0.21 states/eV/atom
SG: P2/m, No. 10
Raw formation energy: -8.793 eV/f.u.

***

18.
## Hf6BSb3 (PBE)

Data for a relaxed Hf6BSb3 crystal.

Structure (POSCAR):
```
Hf6BSb3
1.0
6.2359 0.0000 0.0000
0.0000 7.3717 0.0000
-6.1680 0.0000 9.4166
Hf B Sb
12 2 6
Cartesian
-2.3008 1.5831 4.1456
-5.3849 2.1028 8.8539
-0.9694 4.7548 4.2365
-4.0534 6.3027 8.9448
0.9908 0.2179 2.0875
-2.0932 3.4679 6.7958
2.1611 3.9037 2.6208
-0.9229 7.1538 7.3290
4.1213 1.0690 0.4718
1.0373 2.6169 5.1801
5.4527 5.2689 0.5627
2.3687 5.7886 5.2710
0.0000 0.0000 0.0000
-3.0840 3.6858 4.7083
-3.5195 0.9159 6.9177
-0.4354 2.7700 2.2094
0.0339 0.0000 4.7083
3.1180 3.6858 0.0000
0.5033 4.6017 7.2072
3.5873 6.4558 2.4989
```

## Properties
Theoretical density: 11.1 g/cm³
Total magnetization: 0.000 μB/f.u.
Density of states at the Fermi level: 0.72 states/eV/atom
SG: P2_1/c, No. 14
Raw formation energy: -3.704 eV/f.u.

***

19.
## TaRuPtRh (PBE)

Data for a relaxed TaRuPtRh crystal.

Structure (POSCAR):
```
TaRuPtRh
1.0
3.8477 0.0000 0.0000
0.0000 3.9119 0.0000
0.0000 0.0000 4.0120
Ta Ru Pt Rh
1 1 1 1
Cartesian
0.0000 0.0000 0.0000
1.9238 1.9560 0.0000
0.0000 1.9560 2.0060
1.9238 0.0000 2.0060
```

## Properties
Energy of formation: -579 meV per atom
Theoretical density: 15.9 g/cm³
Total magnetization: 0.000 μB/f.u.
Density of states at the Fermi level: 0.60 states/eV/atom
SG: Pmmm, No. 47

***

20.
## SrPtSeBr2 (PBE)

Data for a relaxed SrPtSeBr2 crystal.

Structure (POSCAR):
```
SrPtSeBr2
1.0
5.7561 0.0000 0.0000
0.0000 5.7561 0.0000
0.0000 0.0000 6.1498
Sr Pt Se Br
1 1 1 2
Cartesian
0.0000 0.0000 0.0000
2.8780 2.8780 3.0749
0.0000 0.0000 3.0749
0.0000 2.8780 0.0000
2.8780 0.0000 0.0000
```

## Properties
Offset from the most stable computed form: 483.5 kJ/mol of formula units
Theoretical density: 4.2 g/cm³
Total magnetization: 2.081 μB/f.u.
Density of states at the Fermi level: 1.28 states/eV/atom
SG: P4/mmm, No. 123
Raw formation energy: 0.874 eV/f.u.

***

21.
## Cd2Ga13 (PBE)

Data for a relaxed Cd2Ga13 crystal.

Structure (POSCAR):
```
Cd2Ga13
1.0
4.0193 2.3205 5.7197
-4.0193 2.3205 5.7197
0.0000 -4.6411 5.7197
Cd Ga
2 13
Cartesian
0.0000 0.0000 4.1722
0.0000 0.0000 12.9868
0.0000 -2.9837 4.0051
-2.5840 1.4919 4.0051
0.0000 -1.7591 6.4598
-1.5234 0.8796 6.4598
-2.5840 -1.4919 13.1539
-1.5234 -0.8796 10.6992
0.0000 0.0000 8.5795
1.5234 0.8796 6.4598
2.5840 1.4919 4.0051
1.5234 -0.8796 10.6992
0.0000 1.7591 10.6992
2.5840 -1.4919 13.1539
0.0000 2.9837 13.1539
```

## Properties
Energy of formation: 89 meV per atom
Theoretical density: 5.9 g/cm³
Total magnetization: 0.000 μB/f.u.
Density of states at the Fermi level: 0.46 states/eV/atom
SG: R-3m, No. 166

***

22.
## KBe2Al (PBE)

Data for a relaxed KBe2Al crystal.

Structure (POSCAR):
```
KBe2Al
1.0
4.0698 0.0000 0.0000
2.0347 3.5290 0.0000
0.9158 0.9576 12.4047
K Be Al
2 4 2
Cartesian
1.3310 1.1455 4.1914
5.6892 3.3410 8.2134
1.3612 1.1770 0.8808
3.3891 2.3418 0.9299
3.6312 2.1448 11.4749
5.6591 3.3095 11.5240
1.6016 0.9595 11.0445
5.4187 3.5271 1.3603
```

## Properties
Energy of formation: 158 meV per atom
Theoretical density: 1.6 g/cm³
Total magnetization: 0.000 μB/f.u.
Density of states at the Fermi level: 0.18 states/eV/atom
SG: P-1, No. 2

***

23.
## LaTb2Tl2Cd2 (PBE)

Data for a relaxed LaTb2Tl2Cd2 crystal.

Structure (POSCAR):
```
LaTb2Tl2Cd2
1.0
2.5293 1.4603 8.9330
-2.5293 1.4603 8.9330
0.0000 -2.9206 8.9330
La Tb Tl Cd
1 2 2 2
Cartesian
0.0000 0.0000 0.0000
0.0000 0.0000 3.6065
0.0000 0.0000 23.1926
0.0000 0.0000 7.1452
0.0000 0.0000 19.6539
0.0000 0.0000 11.6044
0.0000 0.0000 15.1947
```

## Properties
Energy of formation: -208 meV per atom
Theoretical density: 9.1 g/cm³
Total magnetization: 0.000 μB/f.u.
Density of states at the Fermi level: 0.66 states/eV/atom
SG: R-3m, No. 166

***

24.
## SnTeRhO5 (PBE)

Data for a relaxed SnTeRhO5 crystal.

Structure (POSCAR):
```
SnTeRhO5
1.0
3.5903 -4.5365 0.0000
3.5903 4.5365 0.0000
-2.6725 0.0000 7.0988
Sn Te Rh O
2 2 2 10
Cartesian
1.7952 2.2682 0.0000
0.4589 -2.2682 3.5494
1.5859 4.3484 5.3241
2.9222 -4.3484 1.7747
1.5859 0.3315 5.3241
2.9222 -0.3315 1.7747
0.9765 3.0008 6.5237
2.1954 3.0008 4.1245
-0.2156 0.3450 6.4175
2.9222 1.6991 1.7747
1.1207 -0.3450 2.8681
3.3875 0.3450 4.2307
1.5859 -1.6991 5.3241
4.7237 -0.3450 0.6813
2.3128 -3.0008 2.9743
3.5316 -3.0008 0.5751
```

## Properties
Theoretical density: 6.2 g/cm³
Total magnetization: 0.987 μB/f.u.
Density of states at the Fermi level: 0.04 states/eV/atom
SG: C2/c, No. 15
Raw formation energy: -6.196 eV/f.u.

***

no.,total DFT energy (no corrections) (eV for the cell shown)
1,-35.89
2,-41.71
3,-13.80
4,-27.90
5,-32.59
6,-35.30
7,-20.81
8,-44.70
9,-17.69
10,-54.10
11,-13.38
12,-13.11
13,-23.15
14,-28.47
15,-42.87
16,-28.64
17,-46.68
18,-164.94
19,-36.84
20,-13.68
21,-39.84
22,-23.32
23,-22.21
24,-90.97